This record from Alexandria describes a geometry-optimized KZr3B structure. The functional is PBE.

abc: 4.7641 4.7641 4.7641
angles: 90.00 90.00 90.00
Atoms (fractional coordinates):
K 0.0000 0.0000 0.0000
B 0.5000 0.5000 0.5000
Zr 0.0000 0.5000 0.0000
Zr 0.0000 0.0000 0.5000
Zr 0.5000 0.0000 0.0000

Calculated values
As for the magnetization: 0.357 μB/atom. The value obtained for the calculated density is 4.969 Mg/m³. The density of states at the Fermi level comes out at 1.318 states/eV per atom. As for the formation enthalpy at 0 K: 2.692 eV/atom. The value obtained for the polymorph energy (0 for the lowest one) is 1029 kJ/mol of formula units.

---

This record from Alexandria describes a geometry-optimized HfInS2Br structure. The functional is PBE.

abc: 4.8886 5.3016 4.8886
angles: 90.00 90.00 90.00
Atoms (fractional coordinates):
S 0.0000 0.0000 0.5000
S 0.5000 0.0000 0.0000
Hf 0.5000 0.5000 0.5000
Br 0.0000 0.0000 0.0000
In 0.0000 0.5000 0.0000

Calculated values
As for the formation energy without anion corrections: 946 meV/atom. As for the magnetization: 0.000 μB/atom. The value obtained for the calculated density is 5.732 Mg/m³. The density of states at the Fermi level comes out at 0.727 states/eV per atom.

---

This record from Alexandria describes a geometry-optimized Li4InAu5 structure. The functional is PBE.

abc: 3.2851 3.2851 15.2313
angles: 90.00 90.00 90.00
Atoms (fractional coordinates):
Li 0.0000 0.0000 0.2149
Li 0.0000 0.0000 0.4055
Li 0.0000 0.0000 0.5945
Li 0.0000 0.0000 0.7851
In 0.0000 0.0000 0.0000
Au 0.5000 0.5000 0.1231
Au 0.5000 0.5000 0.3122
Au 0.5000 0.5000 0.5000
Au 0.5000 0.5000 0.6878
Au 0.5000 0.5000 0.8769

Calculated values
As for the magnetization: 0.000 μB/atom. The value obtained for the calculated density is 11.389 Mg/m³. The density of states at the Fermi level comes out at 0.175 states/eV per atom. As for the formation enthalpy at 0 K: -0.470 eV/atom. The value obtained for the polymorph energy (0 for the lowest one) is 0 kJ/mol of formula units.

---

This record from Alexandria describes a geometry-optimized Ti2InIr3 structure. The functional is PBE.

abc: 2.9749 2.9749 10.7334
angles: 90.00 90.00 90.00
Atoms (fractional coordinates):
Ti 0.5000 0.5000 0.8376
Ti 0.5000 0.5000 0.1624
In 0.5000 0.5000 0.5000
Ir 0.0000 0.0000 0.0000
Ir 0.0000 0.0000 0.6875
Ir 0.0000 0.0000 0.3125

Calculated values
As for the magnetization: 0.000 μB/atom. The value obtained for the calculated density is 13.761 Mg/m³. The density of states at the Fermi level comes out at 0.559 states/eV per atom. As for the formation enthalpy at 0 K: -0.654 eV/atom.

---

This record from Alexandria describes a geometry-optimized CeDy3Zn8 structure. The functional is PBE.

abc: 5.5357 5.5357 8.7145
angles: 90.00 90.00 120.00
Atoms (fractional coordinates):
Ce 0.0000 0.0000 0.5578
Dy 0.6667 0.3333 0.4454
Dy 0.6667 0.3333 0.0625
Dy 0.0000 0.0000 0.9333
Zn 0.3333 0.6667 0.5007
Zn 0.3333 0.6667 0.0008
Zn 0.5026 0.0051 0.7530
Zn 0.5026 0.4974 0.7530
Zn 0.9949 0.4974 0.7530
Zn 0.1642 0.3284 0.2468
Zn 0.1642 0.8358 0.2468
Zn 0.6716 0.8358 0.2468

Calculated values
As for the magnetization: 0.059 μB/atom. The value obtained for the calculated density is 8.264 Mg/m³. The density of states at the Fermi level comes out at 0.955 states/eV per atom. As for the formation enthalpy at 0 K: -0.302 eV/atom.

---

This record from Alexandria describes a geometry-optimized RuRhAu2 structure. The functional is PBE.

abc: 9.3470 9.3470 9.3470
angles: 17.43 17.43 17.43
Atoms (fractional coordinates):
Au 0.0003 0.0003 0.0003
Au 0.4997 0.4997 0.4997
Rh 0.2500 0.2500 0.2500
Ru 0.7500 0.7500 0.7500

Calculated values
As for the magnetization: 0.062 μB/atom. The value obtained for the calculated density is 15.536 Mg/m³. The density of states at the Fermi level comes out at 1.135 states/eV per atom. As for the formation enthalpy at 0 K: 0.340 eV/atom. The value obtained for the polymorph energy (0 for the lowest one) is 74 kJ/mol of formula units.